This record from the Alexandria database describes a geometry-optimized Hf4FeIr structure. The functional is GGA-PBE.

relative energy among the computed polymorphs: 0.25 eV per formula unit
total magnetic moment: 0.00 μB/f.u.
calculated formation energy: -30 kJ per mole of atoms
symmetry: C2/m (12)
calculated volume: 20.75 Å³/atom

Lattice parameters (Å, degrees): 6.2757 6.2757 7.7392 114.07 114.04 90.03
With the nearest neighbours (Å) after each atom.
Element x y z (fractional)
Hf 0.8629 0.8627 0.7402  2 Fe 2.63-2.75, 2 Ir 2.76
Hf 0.6236 0.6239 0.2599  2 Fe 2.65-2.73, 2 Ir 2.76
Hf 0.1234 0.6372 0.2597  2 Fe 2.64-2.74, 2 Ir 2.76
Fe 0.0000 0.0000 0.5000  8 Hf 2.64-2.75
Fe 0.5000 0.5000 0.5000  8 Hf 2.63-2.74
Hf 0.8766 0.3628 0.7403  2 Fe 2.64-2.74, 2 Ir 2.76
Hf 0.1371 0.1373 0.2598  2 Fe 2.63-2.75, 2 Ir 2.76
Hf 0.6370 0.1237 0.2597  2 Fe 2.64-2.74, 2 Ir 2.76
Hf 0.3764 0.3761 0.7401  2 Fe 2.65-2.73, 2 Ir 2.76
Hf 0.3630 0.8763 0.7403  2 Fe 2.64-2.74, 2 Ir 2.76
Ir 0.2500 0.7500 0.0000  8 Hf 2.76
Ir 0.7500 0.2500 0.0000  8 Hf 2.76